VASP calculation (GGA-PBE) on crystalline Ta2Nb3Ir at its relaxed geometry.

For the formation energy, the calculation gives -0.24 eV per atom. As for the density of states at the Fermi level: 13.61 states/eV per cell.

The space group is Cmmm (No. 65) and the conventional cell measures 4.627, 13.859 and 6.549 Å, with angles of 90.00, 90.00 and 90.00 degrees. The distinct sites, in fractional coordinates, are Ta at (0.000, 0.000, 0.000), Ta at (0.000, 0.000, 0.500), Ta at (0.000, 0.332, 0.000), Nb at (0.000, 0.168, 0.253), Nb at (0.000, 0.500, 0.251) and Ir at (0.000, 0.337, 0.500).